Record 1
Here is crystalline ZnRh4 at its relaxed geometry from Alexandria via LeMat-Bulk. Energies are from GGA-PBEsol.

## Properties
The size of the total moment is 0.0 μB/cell. The value obtained for the density of states at the Fermi level is 0.929 states/eV per atom. The value obtained for the formation energy is -115 meV per atom.

a = 5.952 Å, b = 5.952 Å, c = 3.768 Å
α = 90.00°, β = 90.00°, γ = 90.00°
Space group I4/m (No. 87)
Unique sites:
Zn 0.000 0.000 0.000
Rh 0.102 0.698 0.500

***

Record 2
Here is crystalline TaTeP2S at its relaxed geometry from Alexandria via LeMat-Bulk. Energies are from GGA-PBEsol.

## Properties
The uncorrected formation energy comes out at 0.245 eV/atom. The size of the total moment is 0.0 μB/cell. The value obtained for the density of states at the Fermi level is 0.735 states/eV per atom.

a = 4.912 Å, b = 4.912 Å, c = 4.551 Å
α = 90.00°, β = 90.00°, γ = 90.00°
Space group P4/mmm (No. 123)
Unique sites:
Ta 0.000 0.000 0.000
Te 0.500 0.500 0.500
P 0.000 0.500 0.000
S 0.000 0.000 0.500